P | Compound: CuNi2Pd8
Source: Alexandria
Functional: PBE
Structure: relaxed

```
CuNi2Pd8
1.0
5.7922 -3.3702 0.0000
5.7922 3.3702 0.0000
-1.1418 0.0000 4.4640
Cu Ni Pd
1 2 8
Direct
0.0000 0.0000 0.0000
0.1123 0.1123 0.5156
0.8877 0.8877 0.4844
0.2205 0.2205 0.0862
0.2335 0.6293 0.2160
0.3467 0.3467 0.6649
0.3707 0.7665 0.7840
0.6293 0.2335 0.2160
0.6533 0.6533 0.3351
0.7665 0.3707 0.7840
0.7795 0.7795 0.9138
```

## Properties
- density (g/cm³) = 9.8
- total magnetic moment (μB/f.u.) = 4.03
- DOS(E_F) (states/eV/f.u.) = 19.6

=====

Q | Compound: CuNi2Pd8
Source: Alexandria
Functional: PBE
Structure: relaxed

```
CuNi2Pd8
1.0
6.9097 -1.9497 0.0000
6.9097 1.9497 0.0000
-1.7286 0.0000 5.8991
Cu Ni Pd
1 2 8
Direct
0.0000 0.0000 0.0000
0.2734 0.2734 0.3648
0.7266 0.7266 0.6352
0.0971 0.0971 0.4582
0.1814 0.1814 0.9169
0.3587 0.3587 0.8046
0.4539 0.4539 0.2683
0.5461 0.5461 0.7317
0.6413 0.6413 0.1954
0.8186 0.8186 0.0831
0.9029 0.9029 0.5418
```

## Properties
- density (g/cm³) = 10.8
- total magnetic moment (μB/f.u.) = 4.11
- DOS(E_F) (states/eV/f.u.) = 17.9

=====

Stability summary - winner: Q; margin: 0.279 eV/atom.

=====

P | Compound: CuNi5Pd6
Source: Alexandria
Functional: PBE
Structure: relaxed

```
CuNi5Pd6
1.0
-1.9278 3.6065 5.7831
1.9278 -3.6065 5.7831
1.9278 3.6065 -5.7831
Cu Ni Pd
1 5 6
Direct
0.0000 0.0000 0.0000
0.1687 0.6687 0.5000
0.3335 0.3335 0.0000
0.5000 0.0000 0.5000
0.6665 0.6665 0.0000
0.8313 0.3313 0.5000
0.0830 0.8330 0.2500
0.2513 0.5000 0.7513
0.4171 0.1670 0.2500
0.5829 0.8330 0.7500
0.7487 0.5000 0.2487
0.9170 0.1670 0.7500
```

## Properties
- density (g/cm³) = 10.3
- total magnetic moment (μB/f.u.) = 5.48
- DOS(E_F) (states/eV/f.u.) = 20.2

=====

Q | Compound: CuNi5Pd6
Source: Alexandria
Functional: PBE
Structure: relaxed

```
CuNi5Pd6
1.0
2.3445 -4.0649 0.0000
2.3445 4.0649 0.0000
-1.5549 0.0000 8.5023
Cu Ni Pd
1 5 6
Direct
0.0000 0.0000 0.0000
0.1657 0.8343 0.5000
0.3336 0.6664 0.0000
0.5000 0.5000 0.5000
0.6664 0.3336 0.0000
0.8343 0.1657 0.5000
0.0833 0.4178 0.2505
0.2511 0.2511 0.7491
0.4178 0.0833 0.2505
0.5821 0.9167 0.7495
0.7489 0.7489 0.2509
0.9167 0.5821 0.7495
```

## Properties
- density (g/cm³) = 10.2
- total magnetic moment (μB/f.u.) = 5.30
- DOS(E_F) (states/eV/f.u.) = 20.5

=====

Stability summary - winner: P; margin: 0.033 eV/atom.